A geometry-optimized Li4HfSc3Te8 structure. Source: Alexandria via LeMat-Bulk, functional GGA-PBE.

Calculated values
As for the formation energy (no corrections): -1.09 eV per atom.

Cell lengths 8.2456, 8.2456, 21.0340 Å; angles 90.00, 90.00, 120.00 degrees
Closest atoms and distances in Å follow each position.
Space group R-3m (No. 166, hexagonal axes)
Unique sites:
Li 0.0000 0.0000 0.0000  6 Te 2.99
Li 0.0000 0.5000 0.0000  6 Te 2.97
Hf 0.0000 0.0000 0.5000  6 Te 2.92
Sc 0.0000 0.5000 0.5000  6 Te 2.94-2.95
Te 0.0000 0.0000 0.2488  3 Sc 2.94, 3 Li 2.97
Te 0.0028 0.5014 0.2485  1 Hf 2.92, 2 Sc 2.95, 3 Li 2.97-2.99

---

A geometry-optimized Li2ZnGe2 structure. Source: Alexandria via LeMat-Bulk, functional GGA-PBE.

Calculated values
For the formation energy, the calculation gives -0.02 eV/atom.

Cell lengths 3.7866, 3.7866, 12.0060 Å; angles 90.00, 90.00, 90.00 degrees
Closest atoms and distances in Å follow each position.
Space group I4/mmm (No. 139)
Unique sites:
Li 0.0000 0.5000 0.2500  4 Ge 2.63, 4 Li 2.68
Zn 0.0000 0.0000 0.0000  8 Ge 2.93
Ge 0.0000 0.0000 0.4015  1 Ge 2.37, 4 Li 2.63

---

A geometry-optimized YRuPt2 structure. Source: Alexandria via LeMat-Bulk, functional GGA-PBE.

Calculated values
For the formation energy, the calculation gives -0.48 eV/atom.

Cell lengths 4.0946, 4.0946, 8.3015 Å; angles 90.00, 90.00, 90.00 degrees
Closest atoms and distances in Å follow each position.
Space group I4/mmm (No. 139)
Unique sites:
Y 0.0000 0.0000 0.0000  4 Ru 2.90, 8 Pt 2.92
Ru 0.0000 0.0000 0.5000  4 Y 2.90, 8 Pt 2.92
Pt 0.0000 0.5000 0.2500  4 Pt 2.90, 4 Ru 2.92, 4 Y 2.92

---

A geometry-optimized La3TmPa2N6 structure. Source: Alexandria via LeMat-Bulk, functional GGA-PBE.

Calculated values
As for the formation energy (no corrections): -1.59 eV per atom.

Cell lengths 6.1610, 10.6770, 6.3418 Å; angles 90.00, 108.88, 90.00 degrees
Closest atoms and distances in Å follow each position.
Space group C2/m (No. 12)
Unique sites:
La 0.0000 0.0000 0.0000  6 N 2.66-2.73
La 0.0000 0.3343 0.0000  6 N 2.67-2.73
Tm 0.0000 0.5000 0.5000  6 N 2.45
Pa 0.0000 0.1667 0.5000  6 N 2.37
N 0.2261 0.0000 0.7060  2 Pa 2.37, 1 Tm 2.45
N 0.2401 0.3286 0.7059  2 Pa 2.37, 1 Tm 2.45

---

A geometry-optimized Cs5I4 structure. Source: Alexandria via LeMat-Bulk, functional GGA-PBE.

Calculated values
As for the formation energy (no corrections): -1.35 eV per atom.

Cell lengths 12.4201, 12.4201, 7.8433 Å; angles 90.00, 90.00, 90.00 degrees
Closest atoms and distances in Å follow each position.
Space group I4/m (No. 87)
Unique sites:
Cs 0.0000 0.0000 0.0000  4 I 3.93
Cs 0.1008 0.3015 0.5000  5 I 3.91-3.93
I 0.1007 0.2998 0.0000  6 Cs 3.91-3.93

---

A geometry-optimized Rb2MgSi2 structure. Source: Alexandria via LeMat-Bulk, functional GGA-PBE.

Calculated values
The energy above the most stable polymorph in this dataset is 0 meV per atom. As for the formation energy (no corrections): 0.34 eV per atom.

Cell lengths 3.5921, 3.5921, 25.3020 Å; angles 90.00, 90.00, 90.00 degrees
Closest atoms and distances in Å follow each position.
Space group I4/mmm (No. 139)
Unique sites:
Rb 0.0000 0.0000 0.1266  4 Rb 3.59, 4 Si 3.60
Mg 0.0000 0.0000 0.5000  4 Mg 3.59
Si 0.0000 0.5000 0.2500  4 Si 2.54

---

A geometry-optimized NiTe2Ru structure. Source: Alexandria via LeMat-Bulk, functional GGA-PBE.

Calculated values
The energy above the most stable polymorph in this dataset is 476 meV per atom. As for the formation energy (no corrections): 0.47 eV per atom.

Cell lengths 3.8971, 3.8971, 9.7442 Å; angles 90.00, 90.00, 90.00 degrees
Closest atoms and distances in Å follow each position.
Space group I-4m2 (No. 119)
Unique sites:
Ni 0.0000 0.0000 0.0000  4 Te 2.76
Te 0.0000 0.0000 0.5000  4 Ni 2.76
Te 0.0000 0.5000 0.2500  4 Ru 2.76
Ru 0.0000 0.5000 0.7500  4 Te 2.76

---

A geometry-optimized Nd2SmPu structure. Source: Alexandria via LeMat-Bulk, functional GGA-PBE.

Calculated values
For the formation energy, the calculation gives 0.12 eV/atom. The energy above the most stable polymorph in this dataset is 0 meV per atom.

Cell lengths 3.5832, 3.5832, 10.2824 Å; angles 90.00, 90.00, 90.00 degrees
Closest atoms and distances in Å follow each position.
Space group P4/mmm (No. 123)
Unique sites:
Nd 0.0000 0.0000 0.2423  4 Pu 3.55, 4 Nd 3.58, 4 Sm 3.67
Sm 0.5000 0.5000 0.5000  4 Sm 3.58, 8 Nd 3.67
Pu 0.5000 0.5000 0.0000  8 Nd 3.55, 4 Pu 3.58

---

A geometry-optimized TmLuHf2 structure. Source: Alexandria via LeMat-Bulk, functional GGA-PBE.

Calculated values
For the formation energy, the calculation gives 0.15 eV/atom. The energy above the most stable polymorph in this dataset is 0 meV per atom.

Cell lengths 3.2748, 3.2748, 32.4949 Å; angles 90.00, 90.00, 120.00 degrees
Closest atoms and distances in Å follow each position.
Space group R-3m (No. 166, hexagonal axes)
Unique sites:
Tm 0.0000 0.0000 0.0000  6 Tm 3.27, 6 Hf 3.31
Lu 0.0000 0.0000 0.5000  6 Lu 3.27, 6 Hf 3.30
Hf 0.0000 0.0000 0.2499  6 Hf 3.27, 3 Lu 3.30, 3 Tm 3.31

---

A geometry-optimized TbCeAl structure. Source: Alexandria via LeMat-Bulk, functional GGA-PBE.

Calculated values
For the formation energy, the calculation gives -0.03 eV/atom. The energy above the most stable polymorph in this dataset is 191 meV per atom.

Cell lengths 5.1924, 5.1924, 3.0710 Å; angles 90.00, 90.00, 120.00 degrees
Closest atoms and distances in Å follow each position.
Space group P3m1 (No. 156)
Unique sites:
Tb 0.0000 0.0000 0.0000  3 Ce 3.00, 2 Tb 3.07
Ce 0.6667 0.3333 0.9983  3 Tb 3.00, 2 Ce 3.07
Al 0.3333 0.6667 0.4982  2 Al 3.07, 6 Tb 3.37, 6 Ce 3.37

---

A geometry-optimized CsGe6S8 structure. Source: Alexandria via LeMat-Bulk, functional GGA-PBE.

Calculated values
As for the formation energy (no corrections): -0.34 eV per atom.

Cell lengths 11.2506, 11.2506, 12.1494 Å; angles 90.00, 90.00, 120.00 degrees
Closest atoms and distances in Å follow each position.
Space group R-3 (No. 148, hexagonal axes)
Unique sites:
Cs 0.0000 0.0000 0.0000  8 S 3.74-3.96
Ge 0.1030 0.2058 0.4143  3 S 2.30-2.39
S 0.0000 0.0000 0.3077  3 Ge 2.39
S 0.0006 0.6487 0.9991  2 Ge 2.30

---

A geometry-optimized KHoS2 structure. Source: Alexandria via LeMat-Bulk, functional GGA-PBE.

Calculated values
As for the formation energy (no corrections): -1.86 eV per atom.

Cell lengths 4.0132, 4.0132, 22.5141 Å; angles 90.00, 90.00, 120.00 degrees
Closest atoms and distances in Å follow each position.
Space group R3m (No. 160, hexagonal axes)
Unique sites:
K 0.0000 0.0000 0.0000  6 S 3.19-3.28
Ho 0.0000 0.0000 0.1695  6 S 2.76
S 0.0000 0.0000 0.5692  3 Ho 2.76
S 0.0000 0.0000 0.7697  3 Ho 2.76

---

A geometry-optimized CaNd2In2Hg2 structure. Source: Alexandria via LeMat-Bulk, functional GGA-PBE.

Calculated values
For the formation energy, the calculation gives -0.34 eV/atom.

Cell lengths 4.9536, 4.9536, 28.6776 Å; angles 90.00, 90.00, 120.00 degrees
Closest atoms and distances in Å follow each position.
Space group R-3m (No. 166, hexagonal axes)
Unique sites:
Ca 0.0000 0.0000 0.0000  6 Hg 3.43, 6 In 3.61, 2 Nd 3.66
Nd 0.0000 0.0000 0.1277  3 In 3.21, 3 Hg 3.36
In 0.0000 0.0000 0.2568  3 Hg 2.88, 3 Nd 3.21
Hg 0.0000 0.0000 0.3992  3 In 2.88

---

A geometry-optimized Y4Ho9Tl11 structure. Source: Alexandria via LeMat-Bulk, functional GGA-PBE.

Calculated values
For the formation energy, the calculation gives -0.26 eV/atom.

Cell lengths 16.1507, 22.9492, 3.5687 Å; angles 90.00, 90.00, 90.00 degrees
Closest atoms and distances in Å follow each position.
Space group Cmmm (No. 65)
Unique sites:
Y 0.1669 0.0816 0.0000  6 Tl 3.24-3.37, 3 Ho 3.28-3.62, 2 Y 3.57
Ho 0.0000 0.0000 0.0000  4 Y 3.28, 4 Tl 3.35, 2 Ho 3.57
Ho 0.1096 0.4063 0.0000  8 Tl 3.25-3.31, 3 Ho 3.54-3.57, 1 Y 3.62
Ho 0.1135 0.2280 0.0000  8 Tl 3.23-3.51, 1 Y 3.47, 2 Ho 3.57
Tl 0.0000 0.1234 0.5000  6 Ho 3.35-3.51, 4 Y 3.37, 2 Tl 3.57
Tl 0.0000 0.3138 0.5000  8 Ho 3.23-3.29, 2 Tl 3.57
Tl 0.0000 0.5000 0.5000  8 Ho 3.31, 4 Tl 3.42-3.57
Tl 0.2120 0.5000 0.5000  4 Y 3.24, 4 Ho 3.25, 3 Tl 3.42-3.57
Tl 0.2302 0.3200 0.5000  3 Tl 3.28-3.57, 6 Ho 3.28-3.35, 2 Y 3.32

---

A geometry-optimized La2MgCl2 structure. Source: Alexandria via LeMat-Bulk, functional GGA-PBE.

Calculated values
As for the formation energy (no corrections): -0.60 eV per atom.

Cell lengths 5.4076, 5.4076, 7.8933 Å; angles 90.00, 90.00, 90.00 degrees
Closest atoms and distances in Å follow each position.
Space group P4/mmm (No. 123)
Unique sites:
La 0.0000 0.0000 0.0000  4 Mg 3.82, 2 La 3.95
La 0.0000 0.0000 0.5000  4 Cl 2.70
Mg 0.5000 0.5000 0.0000  4 La 3.82
Cl 0.0000 0.5000 0.5000  2 La 2.70

---

A geometry-optimized HfFeTe2 structure. Source: Alexandria via LeMat-Bulk, functional GGA-PBE.

Calculated values
As for the formation energy (no corrections): 0.24 eV per atom.

Cell lengths 3.4231, 3.4231, 26.9391 Å; angles 90.00, 90.00, 120.00 degrees
Closest atoms and distances in Å follow each position.
Space group R-3m (No. 166, hexagonal axes)
Unique sites:
Hf 0.0000 0.0000 0.0000  2 Te 2.90
Fe 0.0000 0.0000 0.5000  6 Te 2.54
Te 0.0000 0.0000 0.1075  3 Fe 2.54

---

A geometry-optimized PrPaAs2 structure. Source: Alexandria via LeMat-Bulk, functional GGA-PBE.

Calculated values
For the formation energy, the calculation gives -0.52 eV/atom. The energy above the most stable polymorph in this dataset is 752 meV per atom.

Cell lengths 4.2249, 4.2249, 26.0407 Å; angles 90.00, 90.00, 120.00 degrees
Closest atoms and distances in Å follow each position.
Space group R-3m (No. 166, hexagonal axes)
Unique sites:
Pr 0.0000 0.0000 0.0000  2 As 2.89
Pa 0.0000 0.0000 0.5000  6 As 2.84
As 0.0000 0.0000 0.1110  3 Pa 2.84, 1 Pr 2.89